Below is crystalline BaBe2W at its relaxed geometry, with properties calculated at the PBE level.

Lattice parameters (Å, degrees): 3.9659 3.9659 9.3302 90.00 90.00 90.00
Space group I-4m2 (No. 119)
Unique sites:
Ba 0.0000 0.0000 0.0000
Be 0.0000 0.0000 0.5000
Be 0.0000 0.5000 0.7500
W 0.0000 0.5000 0.2500

Properties
Total magnetic moment (μB per cell): 0.00
Calculated formation energy (eV/atom): 1.544